# NaLi2TbP2 PBE relaxed
# - energy of formation from the pure elements (eV per atom) = -0.904
# - M_tot (μB per formula unit) = 0.00
# - SG = P-3m1, No. 164
# - total energy (eV/cell) = -26.022
data_NaLi2TbP2
_chemical_formula_sum 'Na1 Li2 Tb1 P2'
_symmetry_space_group_name_H-M 'P 1'
_symmetry_Int_Tables_number 1
_symmetry_space_group_name_Hall 'P 1'
_cell_length_a 4.2011
_cell_length_b 4.2011
_cell_length_c 7.0310
_cell_angle_alpha 90.00
_cell_angle_beta 90.00
_cell_angle_gamma 120.00
loop_
_atom_site_label
_atom_site_type_symbol
_atom_site_fract_x
_atom_site_fract_y
_atom_site_fract_z
Na1 Na 0.0000 0.0000 0.0000
Li1 Li 0.3333 0.6667 0.1821
Li2 Li 0.6667 0.3333 0.8179
Tb1 Tb 0.0000 0.0000 0.5000
P1 P 0.3333 0.6667 0.7358
P2 P 0.6667 0.3333 0.2642

# EuTmZnGa PBE relaxed
# - energy of formation from the pure elements (eV per atom) = -0.391
# - M_tot (μB per formula unit) = 7.18
# - SG = F-43m, No. 216
# - total energy (eV/cell) = -82.450
data_EuTmZnGa
_chemical_formula_sum 'Eu4 Tm4 Zn4 Ga4'
_symmetry_space_group_name_H-M 'P 1'
_symmetry_Int_Tables_number 1
_symmetry_space_group_name_Hall 'P 1'
_cell_length_a 7.2625
_cell_length_b 7.2625
_cell_length_c 7.2625
_cell_angle_alpha 90.00
_cell_angle_beta 90.00
_cell_angle_gamma 90.00
loop_
_atom_site_label
_atom_site_type_symbol
_atom_site_fract_x
_atom_site_fract_y
_atom_site_fract_z
Eu1 Eu 0.0000 0.0000 0.0000
Eu2 Eu 0.0000 0.5000 0.5000
Eu3 Eu 0.5000 0.0000 0.5000
Eu4 Eu 0.5000 0.5000 0.0000
Tm1 Tm 0.0000 0.0000 0.5000
Tm2 Tm 0.0000 0.5000 0.0000
Tm3 Tm 0.5000 0.0000 0.0000
Tm4 Tm 0.5000 0.5000 0.5000
Zn1 Zn 0.2500 0.2500 0.7500
Zn2 Zn 0.2500 0.7500 0.2500
Zn3 Zn 0.7500 0.2500 0.2500
Zn4 Zn 0.7500 0.7500 0.7500
Ga1 Ga 0.2500 0.2500 0.2500
Ga2 Ga 0.2500 0.7500 0.7500
Ga3 Ga 0.7500 0.2500 0.7500
Ga4 Ga 0.7500 0.7500 0.2500

# AcMg5Hg7 PBE relaxed
# - energy of formation from the pure elements (eV per atom) = -0.259
# - M_tot (μB per formula unit) = 0.00
# - SG = Imm2, No. 44
# - total energy (eV/cell) = -17.561
data_AcMg5Hg7
_chemical_formula_sum 'Ac1 Mg5 Hg7'
_symmetry_space_group_name_H-M 'P 1'
_symmetry_Int_Tables_number 1
_symmetry_space_group_name_Hall 'P 1'
_cell_length_a 7.6931
_cell_length_b 7.6931
_cell_length_c 7.6931
_cell_angle_alpha 132.20
_cell_angle_beta 97.80
_cell_angle_gamma 101.10
loop_
_atom_site_label
_atom_site_type_symbol
_atom_site_fract_x
_atom_site_fract_y
_atom_site_fract_z
Ac1 Ac 0.0000 0.0000 0.0000
Mg1 Mg 0.2402 0.7402 0.5000
Mg2 Mg 0.5105 0.0088 0.0124
Mg3 Mg 0.5105 0.4981 0.5018
Mg4 Mg 0.9964 0.0088 0.4982
Mg5 Mg 0.9964 0.4981 0.9876
Hg1 Hg 0.2102 0.5147 0.6955
Hg2 Hg 0.3340 0.9940 0.3400
Hg3 Hg 0.3385 0.3385 0.0000
Hg4 Hg 0.6499 0.6499 0.0000
Hg5 Hg 0.6540 0.9940 0.6600
Hg6 Hg 0.7753 0.2753 0.5000
Hg7 Hg 0.8193 0.5147 0.3045

# Tb12TlPd6 PBE relaxed
# - offset from the most stable computed form (kJ/mol of formula units) = 215
# - energy of formation from the pure elements (eV per atom) = -0.483
# - M_tot (μB per formula unit) = 0.00
# - SG = R-3, No. 148
# - total energy (eV/cell) = -98.268
data_Tb12TlPd6
_chemical_formula_sum 'Tb12 Tl1 Pd6'
_symmetry_space_group_name_H-M 'P 1'
_symmetry_Int_Tables_number 1
_symmetry_space_group_name_Hall 'P 1'
_cell_length_a 8.7345
_cell_length_b 8.7345
_cell_length_c 8.7345
_cell_angle_alpha 108.79
_cell_angle_beta 108.79
_cell_angle_gamma 108.79
loop_
_atom_site_label
_atom_site_type_symbol
_atom_site_fract_x
_atom_site_fract_y
_atom_site_fract_z
Tb1 Tb 0.0538 0.3520 0.1154
Tb2 Tb 0.1154 0.0538 0.3520
Tb3 Tb 0.1748 0.4670 0.6409
Tb4 Tb 0.3520 0.1154 0.0538
Tb5 Tb 0.3591 0.8252 0.5330
Tb6 Tb 0.4670 0.6409 0.1748
Tb7 Tb 0.5330 0.3591 0.8252
Tb8 Tb 0.6409 0.1748 0.4670
Tb9 Tb 0.6480 0.8846 0.9462
Tb10 Tb 0.8252 0.5330 0.3591
Tb11 Tb 0.8846 0.9462 0.6480
Tb12 Tb 0.9462 0.6480 0.8846
Tl1 Tl 0.5000 0.5000 0.5000
Pd1 Pd 0.1470 0.7897 0.7176
Pd2 Pd 0.2103 0.2824 0.8530
Pd3 Pd 0.2824 0.8530 0.2103
Pd4 Pd 0.7176 0.1470 0.7897
Pd5 Pd 0.7897 0.7176 0.1470
Pd6 Pd 0.8530 0.2103 0.2824

# CaHg2 PBE relaxed
# - energy of formation from the pure elements (eV per atom) = -0.301
# - M_tot (μB per formula unit) = 0.00
# - SG = Fd-3m, No. 227
# - total energy (eV/cell) = -7.017
data_CaHg2
_chemical_formula_sum 'Ca2 Hg4'
_symmetry_space_group_name_H-M 'P 1'
_symmetry_Int_Tables_number 1
_symmetry_space_group_name_Hall 'P 1'
_cell_length_a 6.0690
_cell_length_b 6.0690
_cell_length_c 6.0690
_cell_angle_alpha 60.00
_cell_angle_beta 60.00
_cell_angle_gamma 60.00
loop_
_atom_site_label
_atom_site_type_symbol
_atom_site_fract_x
_atom_site_fract_y
_atom_site_fract_z
Ca1 Ca 0.1250 0.1250 0.1250
Ca2 Ca 0.8750 0.8750 0.8750
Hg1 Hg 0.0000 0.5000 0.5000
Hg2 Hg 0.5000 0.0000 0.5000
Hg3 Hg 0.5000 0.5000 0.0000
Hg4 Hg 0.5000 0.5000 0.5000

# AcCe2F8 PBE relaxed
# - M_tot (μB per formula unit) = 3.00
# - SG = Immm, No. 71
# - uncorrected formation energy (eV/atom) = -3.8518
# - total energy (eV/cell) = -73.317
data_AcCe2F8
_chemical_formula_sum 'Ac1 Ce2 F8'
_symmetry_space_group_name_H-M 'P 1'
_symmetry_Int_Tables_number 1
_symmetry_space_group_name_Hall 'P 1'
_cell_length_a 7.0637
_cell_length_b 7.0637
_cell_length_c 7.0637
_cell_angle_alpha 146.94
_cell_angle_beta 123.95
_cell_angle_gamma 66.64
loop_
_atom_site_label
_atom_site_type_symbol
_atom_site_fract_x
_atom_site_fract_y
_atom_site_fract_z
Ac1 Ac 0.0000 0.0000 0.0000
Ce1 Ce 0.3188 0.3188 0.0000
Ce2 Ce 0.6812 0.6812 0.0000
F1 F 0.1184 0.8407 0.2777
F2 F 0.1464 0.6464 0.5000
F3 F 0.3036 0.5000 0.8036
F4 F 0.4371 0.1593 0.2777
F5 F 0.5629 0.8407 0.7223
F6 F 0.6964 0.5000 0.1964
F7 F 0.8536 0.3536 0.5000
F8 F 0.8816 0.1593 0.7223

# KTl2IrBr8 PBE relaxed
# - M_tot (μB per formula unit) = 0.00
# - SG = P2/m, No. 10
# - uncorrected formation energy (eV/atom) = -0.6593
# - total energy (eV/cell) = -35.986
data_KTl2IrBr8
_chemical_formula_sum 'K1 Tl2 Ir1 Br8'
_symmetry_space_group_name_H-M 'P 1'
_symmetry_Int_Tables_number 1
_symmetry_space_group_name_Hall 'P 1'
_cell_length_a 6.4734
_cell_length_b 9.1990
_cell_length_c 7.5210
_cell_angle_alpha 90.00
_cell_angle_beta 110.24
_cell_angle_gamma 90.00
loop_
_atom_site_label
_atom_site_type_symbol
_atom_site_fract_x
_atom_site_fract_y
_atom_site_fract_z
K1 K 0.0000 0.0000 0.0000
Tl1 Tl 0.0000 0.2500 0.5000
Tl2 Tl 0.0000 0.7500 0.5000
Ir1 Ir 0.0000 0.5000 0.0000
Br1 Br 0.2385 0.5000 0.8026
Br2 Br 0.2392 0.3090 0.2110
Br3 Br 0.2392 0.6910 0.2110
Br4 Br 0.2861 0.0000 0.7026
Br5 Br 0.7139 0.0000 0.2974
Br6 Br 0.7608 0.3090 0.7890
Br7 Br 0.7608 0.6910 0.7890
Br8 Br 0.7615 0.5000 0.1974

# CoAgBr4 PBE relaxed
# - offset from the most stable computed form (kJ/mol of formula units) = 0
# - M_tot (μB per formula unit) = 4.02
# - SG = P222, No. 16
# - uncorrected formation energy (eV/atom) = -0.2772
# - total energy (eV/cell) = -36.624
data_CoAgBr4
_chemical_formula_sum 'Co2 Ag2 Br8'
_symmetry_space_group_name_H-M 'P 1'
_symmetry_Int_Tables_number 1
_symmetry_space_group_name_Hall 'P 1'
_cell_length_a 6.3747
_cell_length_b 6.3947
_cell_length_c 11.4525
_cell_angle_alpha 90.00
_cell_angle_beta 90.00
_cell_angle_gamma 90.00
loop_
_atom_site_label
_atom_site_type_symbol
_atom_site_fract_x
_atom_site_fract_y
_atom_site_fract_z
Co1 Co 0.0000 0.0000 0.0000
Co2 Co 0.0000 0.5000 0.5000
Ag1 Ag 0.0000 0.0000 0.5000
Ag2 Ag 0.5000 0.0000 0.0000
Br1 Br 0.2081 0.2158 0.1193
Br2 Br 0.2081 0.7842 0.8807
Br3 Br 0.2175 0.2926 0.6185
Br4 Br 0.2175 0.7074 0.3815
Br5 Br 0.7825 0.2926 0.3815
Br6 Br 0.7825 0.7074 0.6185
Br7 Br 0.7919 0.2158 0.8807
Br8 Br 0.7919 0.7842 0.1193

# BaBeCu2 PBE relaxed
# - energy of formation from the pure elements (eV per atom) = 0.759
# - M_tot (μB per formula unit) = 0.00
# - SG = C2/m, No. 12
# - total energy (eV/cell) = -21.608
data_BaBeCu2
_chemical_formula_sum 'Ba2 Be2 Cu4'
_symmetry_space_group_name_H-M 'P 1'
_symmetry_Int_Tables_number 1
_symmetry_space_group_name_Hall 'P 1'
_cell_length_a 6.8955
_cell_length_b 6.8985
_cell_length_c 3.5315
_cell_angle_alpha 90.00
_cell_angle_beta 90.30
_cell_angle_gamma 90.00
loop_
_atom_site_label
_atom_site_type_symbol
_atom_site_fract_x
_atom_site_fract_y
_atom_site_fract_z
Ba1 Ba 0.0000 0.0000 0.0000
Ba2 Ba 0.5000 0.5000 0.0000
Be1 Be 0.0000 0.5000 0.0000
Be2 Be 0.5000 0.0000 0.0000
Cu1 Cu 0.2500 0.2500 0.5000
Cu2 Cu 0.2500 0.7500 0.5000
Cu3 Cu 0.7500 0.2500 0.5000
Cu4 Cu 0.7500 0.7500 0.5000

# PaTiAs2 PBE relaxed
# - offset from the most stable computed form (kJ/mol of formula units) = 0
# - energy of formation from the pure elements (eV per atom) = -0.969
# - M_tot (μB per formula unit) = 0.00
# - SG = Pnma, No. 62
# - total energy (eV/cell) = -122.268
data_PaTiAs2
_chemical_formula_sum 'Pa4 Ti4 As8'
_symmetry_space_group_name_H-M 'P 1'
_symmetry_Int_Tables_number 1
_symmetry_space_group_name_Hall 'P 1'
_cell_length_a 6.6521
_cell_length_b 3.8764
_cell_length_c 12.9310
_cell_angle_alpha 90.00
_cell_angle_beta 90.00
_cell_angle_gamma 90.00
loop_
_atom_site_label
_atom_site_type_symbol
_atom_site_fract_x
_atom_site_fract_y
_atom_site_fract_z
Pa1 Pa 0.0967 0.2500 0.1440
Pa2 Pa 0.4033 0.7500 0.6440
Pa3 Pa 0.5967 0.2500 0.3560
Pa4 Pa 0.9033 0.7500 0.8560
Ti1 Ti 0.0790 0.7500 0.4049
Ti2 Ti 0.4210 0.2500 0.9049
Ti3 Ti 0.5790 0.7500 0.0951
Ti4 Ti 0.9210 0.2500 0.5951
As1 As 0.1580 0.2500 0.7559
As2 As 0.2435 0.7500 0.9943
As3 As 0.2565 0.2500 0.4943
As4 As 0.3420 0.7500 0.2559
As5 As 0.6580 0.2500 0.7441
As6 As 0.7435 0.7500 0.5057
As7 As 0.7565 0.2500 0.0057
As8 As 0.8420 0.7500 0.2441